VASP calculation (GGA-PBE) on an optimized crystal structure of CoTe2Ir.

The space group is R3m (No. 160, hexagonal axes) and the conventional cell measures 3.9235, 3.9235 and 19.6902 Å, with angles of 90.00, 90.00 and 120.00 degrees. The asymmetric unit holds Co at (0.0000, 0.0000, 0.0000), Te at (0.0000, 0.0000, 0.5460), Te at (0.0000, 0.0000, 0.7288) and Ir at (0.0000, 0.0000, 0.2871).

Its total energy is -5.53 eV per atom. As for the uncorrected formation energy: 0.0294 eV per atom. The density of states at the Fermi level comes out at 0.8190 states/eV per atom.